(1)
LaThN2 | PBE-GGA | optimized geometry

Properties
Magnetic moment   0.00 Bohr magnetons per cell
VASP energy   -69.91 eV for the cell shown
D(E_F)   2.33 states/eV per cell
Formation energy from raw total energies   -5.959 eV per formula unit

POSCAR file:
```
LaThN2
1.0
5.228 0.000 0.000
0.000 5.228 0.000
-2.614 -2.614 5.246
La N Th
2 4 2
direct
0.500 0.500 0.000 La
0.250 0.750 0.500 La
0.238 0.238 0.476 N
0.988 0.488 0.976 N
0.512 0.012 0.024 N
0.762 0.762 0.524 N
0.750 0.250 0.500 Th
0.000 0.000 0.000 Th
```

(2)
La3ThN4 | PBE-GGA | optimized geometry

Properties
Magnetic moment   0.00 Bohr magnetons per cell
VASP energy   -66.66 eV for the cell shown
D(E_F)   2.06 states/eV per cell
Formation energy from raw total energies   -11.161 eV per formula unit

POSCAR file:
```
La3ThN4
1.0
5.263 0.000 0.000
0.000 5.263 0.000
0.000 0.000 5.263
Th N La
1 4 3
direct
0.000 0.000 0.000 Th
0.000 0.000 0.500 N
0.500 0.500 0.500 N
0.000 0.500 0.000 N
0.500 0.000 0.000 N
0.500 0.000 0.500 La
0.000 0.500 0.500 La
0.500 0.500 0.000 La
```

(3)
La4ThN4 | PBE-GGA | optimized geometry

Properties
Magnetic moment   0.88 Bohr magnetons per cell
VASP energy   -71.75 eV for the cell shown
D(E_F)   4.66 states/eV per cell
Formation energy from raw total energies   -11.321 eV per formula unit

POSCAR file:
```
La4ThN4
1.0
-3.460 1.234 -0.517
-2.233 1.760 5.837
0.947 8.307 0.174
N La Th
4 4 1
direct
0.692 0.911 0.706 N
0.904 0.280 0.913 N
0.096 0.720 0.087 N
0.308 0.089 0.294 N
0.892 0.828 0.389 La
0.705 0.400 0.189 La
0.108 0.172 0.611 La
0.295 0.600 0.811 La
0.500 0.000 0.000 Th
```

(4)
La5ThN6 | PBE-GGA | optimized geometry

Properties
Magnetic moment   0.00 Bohr magnetons per cell
VASP energy   -98.91 eV for the cell shown
D(E_F)   2.13 states/eV per cell
Formation energy from raw total energies   -16.902 eV per formula unit

POSCAR file:
```
La5ThN6
1.0
6.392 0.154 0.970
1.568 5.422 3.160
0.106 0.057 6.469
N La Th
6 5 1
direct
0.244 0.236 0.000 N
0.241 0.920 0.683 N
0.759 0.080 0.317 N
0.241 0.602 0.317 N
0.759 0.398 0.683 N
0.756 0.764 0.000 N
0.000 0.667 0.666 La
0.500 0.166 0.668 La
0.500 0.500 0.000 La
0.000 0.333 0.334 La
0.500 0.834 0.332 La
0.000 0.000 0.000 Th
```

(5)
LaTh2N3 | PBE-GGA | optimized geometry

Properties
Magnetic moment   0.00 Bohr magnetons per cell
VASP energy   -104.12 eV for the cell shown
D(E_F)   5.62 states/eV per cell
Formation energy from raw total energies   -7.315 eV per formula unit

POSCAR file:
```
LaTh2N3
1.0
-0.233 -3.079 -1.866
-1.999 -3.092 8.840
-6.673 2.001 -2.470
N La Th
6 2 4
direct
0.691 0.381 0.543 N
0.074 0.149 0.836 N
0.278 0.556 0.849 N
0.309 0.619 0.457 N
0.722 0.444 0.151 N
0.926 0.851 0.164 N
0.000 0.000 0.500 La
0.500 0.000 0.000 La
0.667 0.334 0.841 Th
0.820 0.641 0.666 Th
0.180 0.359 0.334 Th
0.333 0.666 0.159 Th
```

(6)
La4Th3TiN8 | PBE-GGA | optimized geometry

Properties
Magnetic moment   0.00 Bohr magnetons per cell
VASP energy   -138.88 eV for the cell shown
D(E_F)   5.82 states/eV per cell
Formation energy from raw total energies   -22.408 eV per formula unit

POSCAR file:
```
La4Th3TiN8
1.0
7.208 0.000 0.000
0.000 7.285 0.049
-3.604 -3.600 5.100
La N Th Ti
4 8 3 1
direct
0.500 0.000 0.000 La
0.500 0.000 0.500 La
0.000 0.000 0.500 La
0.000 0.000 0.000 La
0.774 0.285 0.012 N
0.762 0.715 0.988 N
0.742 0.727 0.485 N
0.238 0.285 0.012 N
0.258 0.273 0.515 N
0.226 0.715 0.988 N
0.227 0.715 0.454 N
0.773 0.285 0.546 N
0.500 0.500 0.000 Th
0.000 0.500 0.500 Th
0.500 0.500 0.500 Th
0.000 0.500 0.000 Ti
```

- Number 6 is which compound?
  La4Th3TiN8

- What is the D(E_F) in the third record?
  4.66 states/eV per cell

- Which of these has the lowest VASP energy?
  La4Th3TiN8

- The highest formation energy from raw total energies belongs to which entry?
  LaThN2